Record 1
VASP calculation (GGA-PBE) on LuAgRh2 after structural relaxation.

## Properties
**Magnetic moment**: 0.0 μB per formula unit
**Energy of formation from the pure elements**: -0.476 eV/atom
**Crystal system**: tetragonal

Cell: 3.9308 4.1512 4.1512 Å, 90.00 90.00 90.00°
Last column: nearest neighbours and their distance in Å.
Atoms (fractional coordinates):
Rh: 0.0000 0.0000 0.5000  4 Ag 2.86, 4 Lu 2.86, 4 Rh 2.94
Rh: 0.0000 0.5000 0.0000  4 Ag 2.86, 4 Lu 2.86, 4 Rh 2.94
Ag: 0.5000 0.0000 0.0000  8 Rh 2.86, 4 Lu 2.94
Lu: 0.5000 0.5000 0.5000  8 Rh 2.86, 4 Ag 2.94

---

Record 2
VASP calculation (GGA-PBE) on ZnSi3Pd after structural relaxation.

## Properties
**Magnetic moment**: 0.0 μB per formula unit
**Energy relative to the elements, uncorrected**: 641 meV per atom
**Crystal system**: cubic
**Energy above the most stable polymorph in this dataset**: 0 meV/atom

Cell: 4.7076 4.7076 4.7076 Å, 90.00 90.00 90.00°
Last column: nearest neighbours and their distance in Å.
Atoms (fractional coordinates):
Pd: 0.0000 0.0000 0.0000  6 Si 2.35
Zn: 0.5000 0.5000 0.5000  12 Si 3.33
Si: 0.0000 0.0000 0.5000  2 Pd 2.35
Si: 0.5000 0.0000 0.0000  2 Pd 2.35
Si: 0.0000 0.5000 0.0000  2 Pd 2.35

---

Record 3
VASP calculation (GGA-PBE) on NaSr2CrH6 after structural relaxation.

## Properties
**Magnetic moment**: 1.0 μB per formula unit
**Crystal system**: cubic
**Total energy**: -37.4 eV per formula unit

Cell: 5.5128 5.5128 5.5128 Å, 60.00 60.00 60.00°
Last column: nearest neighbours and their distance in Å.
Atoms (fractional coordinates):
Cr: 0.0000 0.0000 0.0000  6 H 1.76
H: 0.2254 0.7746 0.2254  1 Cr 1.76
H: 0.7746 0.2254 0.7746  1 Cr 1.76
H: 0.2254 0.2254 0.7746  1 Cr 1.76
H: 0.2254 0.7746 0.7746  1 Cr 1.76
H: 0.7746 0.2254 0.2254  1 Cr 1.76
H: 0.7746 0.7746 0.2254  1 Cr 1.76
Sr: 0.7500 0.7500 0.7500  12 H 2.76
Sr: 0.2500 0.2500 0.2500  12 H 2.76
Na: 0.5000 0.5000 0.5000  6 H 2.14

---

Record 4
VASP calculation (GGA-PBE) on HfAsP2S after structural relaxation.

## Properties
**Magnetic moment**: 0.0 μB per formula unit
**Energy relative to the elements, uncorrected**: 478 meV per atom
**Crystal system**: tetragonal
**Energy above the most stable polymorph in this dataset**: 73 meV/atom

Cell: 4.4389 4.6942 4.4389 Å, 90.00 90.00 90.00°
Last column: nearest neighbours and their distance in Å.
Atoms (fractional coordinates):
P: 0.5000 0.0000 0.0000  2 S 2.22
P: 0.0000 0.0000 0.5000  2 S 2.22
Hf: 0.5000 0.5000 0.5000  4 As 3.14, 8 P 3.23
S: 0.0000 0.0000 0.0000  4 P 2.22, 2 As 2.35
As: 0.0000 0.5000 0.0000  2 S 2.35

---

Record 5
VASP calculation (GGA-PBE) on NaHW3 after structural relaxation.

## Properties
**Magnetic moment**: 0.0 μB per formula unit
**Crystal system**: cubic
**Energy above the most stable polymorph in this dataset**: 0 meV/atom

Cell: 4.1020 4.1020 4.1020 Å, 90.00 90.00 90.00°
Last column: nearest neighbours and their distance in Å.
Atoms (fractional coordinates):
Na: 0.5000 0.5000 0.5000  12 W 2.90
W: 0.0000 0.5000 0.0000  2 H 2.05
W: 0.5000 0.0000 0.0000  2 H 2.05
W: 0.0000 0.0000 0.5000  2 H 2.05
H: 0.0000 0.0000 0.0000  6 W 2.05

---

Record 6
VASP calculation (GGA-PBE) on KMoP after structural relaxation.

## Properties
**Magnetic moment**: 0.0 μB per formula unit
**Energy of formation from the pure elements**: -0.361 eV/atom
**Crystal system**: tetragonal
**Energy above the most stable polymorph in this dataset**: 0 meV/atom

Cell: 3.8390 3.8390 11.3576 Å, 90.00 90.00 90.00°
Last column: nearest neighbours and their distance in Å.
Atoms (fractional coordinates):
Mo: 0.0000 0.0000 0.5000  4 P 2.52, 4 Mo 2.71
Mo: 0.5000 0.5000 0.5000  4 P 2.52, 4 Mo 2.71
K: 0.0000 0.5000 0.7987  4 P 3.24
K: 0.5000 0.0000 0.2013  4 P 3.24
P: 0.5000 0.0000 0.6433  4 Mo 2.52
P: 0.0000 0.5000 0.3567  4 Mo 2.52

---

Q: Look up the magnetic moment of the third one.
A: 1.0 μB per formula unit

---

Q: Which of these has the highest magnetic moment?
A: NaSr2CrH6